Record 1
A plane-wave DFT calculation with PBE was carried out for an optimized crystal structure of Na2PmErF8.

a = 3.8657 Å, b = 5.5826 Å, c = 7.7306 Å
α = 89.99°, β = 90.00°, γ = 89.97°
Fractional coordinates of all 12 atoms:
Pm (0.0000, 0.0000, 0.5000)
Er (0.0000, 0.0000, 0.0000)
F (0.4997, 0.2389, 0.5000)
F (0.0005, 0.7691, 0.2419)
F (0.0005, 0.7691, 0.7581)
F (0.9995, 0.2309, 0.2419)
F (0.5003, 0.7611, 0.5000)
F (0.9995, 0.2309, 0.7581)
F (0.5003, 0.7756, 0.0000)
Na (0.5000, 0.5000, 0.7586)
F (0.4997, 0.2244, 0.0000)
Na (0.5000, 0.5000, 0.2414)

Values from the calculation:
E_form (uncorrected): -44.36 eV/f.u.
Space-group type: Pmmm



Record 2
A plane-wave DFT calculation with PBE was carried out for an optimized crystal structure of RbNaErF5.

a = 6.5464 Å, b = 6.5464 Å, c = 8.3563 Å
α = 101.31°, β = 101.31°, γ = 110.43°
Fractional coordinates of all 16 atoms:
Er (0.0000, 0.0000, 0.5000)
F (0.7574, 0.6525, 0.4263)
Rb (0.6651, 0.3349, 0.7500)
F (0.3475, 0.2426, 0.0737)
F (0.9039, 0.2760, 0.0897)
Rb (0.3349, 0.6651, 0.2500)
F (0.0612, 0.9388, 0.2500)
F (0.9388, 0.0612, 0.7500)
Na (0.6809, 0.3191, 0.2500)
Er (0.0000, 0.0000, 0.0000)
F (0.0961, 0.7240, 0.9103)
F (0.2760, 0.9039, 0.5897)
F (0.7240, 0.0961, 0.4103)
Na (0.3191, 0.6809, 0.7500)
F (0.6525, 0.7574, 0.9263)
F (0.2426, 0.3475, 0.5737)

Values from the calculation:
E_form (uncorrected): -27.74 eV/f.u.
Space-group type: C2/c



Record 3
A plane-wave DFT calculation with PBE was carried out for an optimized crystal structure of Rb3Na2ErF9.

a = 6.2682 Å, b = 6.2682 Å, c = 7.9281 Å
α = 90.00°, β = 90.00°, γ = 120.00°
Fractional coordinates of all 15 atoms:
Er (0.0000, 0.0000, 0.5000)
Na (0.6667, 0.3333, 0.8180)
F (0.1605, 0.8395, 0.3403)
F (0.6790, 0.8395, 0.3403)
F (0.3210, 0.1605, 0.6597)
Rb (0.6667, 0.3333, 0.3087)
F (0.8395, 0.1605, 0.6597)
Rb (0.0000, 0.0000, 0.0000)
F (0.1605, 0.3210, 0.3403)
F (0.8395, 0.6790, 0.6597)
Rb (0.3333, 0.6667, 0.6913)
Na (0.3333, 0.6667, 0.1820)
F (0.0000, 0.5000, 0.0000)
F (0.5000, 0.0000, 0.0000)
F (0.5000, 0.5000, 0.0000)

Values from the calculation:
E_form (uncorrected): -44.27 eV/f.u.
Space-group type: P-3m1